Entry 1:
# Cu3Te2

A relaxed structure of Cu3Te2 (PBE, Alexandria).

a b c (Å): 4.061 4.061 6.029
angles (deg): 90.00 90.00 90.00
Space group P4mm (No. 99)
Asymmetric unit:
Cu 0.000 0.000 0.000 [1 per cell]
Cu 0.000 0.500 0.719 [2 per cell]
Te 0.000 0.000 0.445 [1 per cell]
Te 0.500 0.500 0.021 [1 per cell]

Properties
Mass density, Mg/m³: 7.445
E_form (uncorrected), eV per atom: -0.036

Entry 2:
# Ba8AsSe3I4

A relaxed structure of Ba8AsSe3I4 (PBE, Alexandria).

a b c (Å): 9.5824 9.5824 24.5781
angles (deg): 90.00 90.00 120.00
Space group R-3m (No. 166, hexagonal axes)
Asymmetric unit:
Ba 0.0000 0.0000 0.2381 [6 per cell]
Ba 0.0047 0.5024 0.2375 [18 per cell]
As 0.0000 0.0000 0.5000 [3 per cell]
Se 0.0000 0.5000 0.5000 [9 per cell]
I 0.0000 0.0000 0.0000 [3 per cell]
I 0.0000 0.5000 0.0000 [9 per cell]

Properties
Mass density, Mg/m³: 4.889
E_form (uncorrected), eV per atom: -1.662

Entry 3:
# ScNi2AuC

A relaxed structure of ScNi2AuC (PBE, Alexandria).

a b c (Å): 3.893 3.893 4.404
angles (deg): 90.00 90.00 90.00
Space group P4/mmm (No. 123)
Asymmetric unit:
Sc 0.000 0.000 0.000 [1 per cell]
Ni 0.000 0.500 0.500 [2 per cell]
Au 0.500 0.500 0.000 [1 per cell]
C 0.000 0.000 0.500 [1 per cell]

Properties
Mass density, Mg/m³: 9.238
ΔH_f (0 K), eV per atom: -0.170

Entry 4:
# Cs4BaAg3F12

A relaxed structure of Cs4BaAg3F12 (PBE, Alexandria).

a b c (Å): 9.332 9.332 9.332
angles (deg): 90.00 90.00 90.00
Space group Im-3m (No. 229)
Asymmetric unit:
Cs 0.250 0.250 0.250 [8 per cell]
Ba 0.000 0.000 0.000 [2 per cell]
Ag 0.000 0.000 0.500 [6 per cell]
F 0.000 0.000 0.269 [12 per cell]
F 0.000 0.250 0.500 [12 per cell]

Properties
Mass density, Mg/m³: 4.988
E_form (uncorrected), eV per atom: -2.203

Entry 5:
# Ce2NdFe2N6

A relaxed structure of Ce2NdFe2N6 (PBE, Alexandria).

a b c (Å): 5.5500 5.5500 18.6040
angles (deg): 90.00 90.00 120.00
Space group R-3m (No. 166, hexagonal axes)
Asymmetric unit:
Ce 0.0000 0.0000 0.2030 [6 per cell]
Nd 0.0000 0.0000 0.0000 [3 per cell]
Fe 0.0000 0.0000 0.4104 [6 per cell]
N 0.0065 0.5032 0.7683 [18 per cell]

Properties
Mass density, Mg/m³: 6.226
E_form (uncorrected), eV per atom: -0.547

Entry 6:
# Zn3Ni12Ir

A relaxed structure of Zn3Ni12Ir (PBE, Alexandria).

a b c (Å): 3.589 3.589 14.281
angles (deg): 90.00 90.00 90.00
Space group P4/mmm (No. 123)
Asymmetric unit:
Zn 0.000 0.000 0.000 [1 per cell]
Zn 0.000 0.000 0.247 [2 per cell]
Ni 0.000 0.500 0.124 [4 per cell]
Ni 0.000 0.500 0.373 [4 per cell]
Ni 0.500 0.500 0.000 [1 per cell]
Ni 0.500 0.500 0.249 [2 per cell]
Ni 0.500 0.500 0.500 [1 per cell]
Ir 0.000 0.000 0.500 [1 per cell]

Properties
Mass density, Mg/m³: 9.865
ΔH_f (0 K), eV per atom: -0.085

Entry 7:
# CrSn3C

A relaxed structure of CrSn3C (PBE, Alexandria).

a b c (Å): 5.018 5.018 5.018
angles (deg): 90.00 90.00 90.00
Space group Pm-3m (No. 221)
Asymmetric unit:
Cr 0.000 0.000 0.000 [1 per cell]
Sn 0.000 0.000 0.500 [3 per cell]
C 0.500 0.500 0.500 [1 per cell]

Properties
Mass density, Mg/m³: 5.523
E above lowest polymorph, eV/atom: 0.346
ΔH_f (0 K), eV per atom: 1.394

Entry 8:
# TiSi3Pt

A relaxed structure of TiSi3Pt (PBE, Alexandria).

a b c (Å): 4.684 4.684 4.684
angles (deg): 90.00 90.00 90.00
Space group Pm-3m (No. 221)
Asymmetric unit:
Ti 0.000 0.000 0.000 [1 per cell]
Si 0.000 0.000 0.500 [3 per cell]
Pt 0.500 0.500 0.500 [1 per cell]

Properties
Mass density, Mg/m³: 5.289
E_form (uncorrected), eV per atom: 0.920

Computed D(E_F) (states/eV/atom) in order:
0.416; 0.367; 1.129; 0.445; 0.716; 1.148; 0.484; 1.186
Computed total moment (μB per atom) in order:
0.00; 0.00; 0.12; 0.09; 0.46; 0.34; 0.74; 0.00
Computed calculated total energy (eV/atom) in order:
-3.751; -3.955; -6.249; -4.021; -8.139; -5.214; -4.777; -5.121